A plane-wave DFT calculation with PBE with a Hubbard U was carried out for Hf3MnO after structural relaxation.

The structure in extended XYZ format:
```
5
Lattice="-3.593 1.671 -1.993 -0.735 -3.913 -1.955 -2.495 -1.253 3.446" Properties=species:S:1:pos:R:3 pbc="T T T"
Mn -3.411 -1.748 -0.251
Hf -0.367 -1.956 -0.977
Hf -1.247 -0.627 1.723
Hf -1.796 0.835 -0.997
O 0.000 0.000 0.000
```

Output
Relative energy among the computed polymorphs (meV per atom): 0
M_tot (μB/cell): 3.5